1.
Co3Au, relaxed, DFT PBE-GGA; crystal system = hexagonal; ΔE_f = 136.5 meV/atom; total magnetic moment = 10.28 μB/cell; calculated total energy = -48.1 eV/cell; SG = P6_3/mmc (194)
1.0
2.6357 -4.5651 0.0000
2.6357 4.5651 0.0000
0.0000 0.0000 4.2295
Co Au
6 2
direct
0.1562 0.8438 0.7500
0.8438 0.6875 0.2500
0.3125 0.1562 0.2500
0.6875 0.8438 0.7500
0.8438 0.1562 0.2500
0.1562 0.3125 0.7500
0.3333 0.6667 0.2500
0.6667 0.3333 0.7500

***

2.
Zn3Pd3Au, relaxed, DFT PBE-GGA; crystal system = orthorhombic; ΔE_f = -357.8 meV/atom; total magnetic moment = 0.00 μB/cell; calculated total energy = -50.4 eV/cell; SG = Cmmm (65)
1.0
5.8561 1.2840 0.3512
-1.4594 5.8148 0.3512
-0.2714 -0.4381 6.1270
Zn Pd Au
6 6 2
direct
0.0000 0.0000 0.2555
0.0000 0.5000 0.2554
0.0000 0.0000 0.7445
0.0000 0.5000 0.7446
0.5000 0.0000 0.7446
0.5000 0.0000 0.2554
0.7345 0.7345 0.5000
0.2524 0.7476 0.5000
0.7476 0.2524 0.5000
0.2655 0.2655 0.5000
0.7500 0.2500 0.0000
0.2500 0.7500 0.0000
0.7250 0.7250 0.0000
0.2750 0.2750 0.0000

***

3.
AlCuNi5, relaxed, DFT PBE-GGA; crystal system = tetragonal; distance to the lowest polymorph of the same formula = 14 meV/atom; ΔE_f = 4.9 meV/atom; total magnetic moment = 1.97 μB/cell; calculated total energy = -36.7 eV/cell; SG = P4/mmm (123)
1.0
3.5746 0.0000 0.0000
0.0000 3.5746 0.0000
0.0000 0.0000 6.7136
Ni Cu Al
5 1 1
direct
0.5000 0.0000 0.2598
0.0000 0.5000 0.2598
0.5000 0.5000 0.0000
0.0000 0.5000 0.7402
0.5000 0.0000 0.7402
0.0000 0.0000 0.5000
0.0000 0.0000 0.0000

***

4.
CaH2S, relaxed, DFT PBE-GGA; crystal system = orthorhombic; distance to the lowest polymorph of the same formula = 0 meV/atom; total magnetic moment = 0.00 μB/cell; calculated total energy = -33.1 eV/cell; SG = Cmcm (63)
1.0
4.3617 0.0000 -1.6009
0.0000 5.5262 0.0000
-0.5479 0.0000 5.2467
H S Ca
4 2 2
direct
0.4620 0.8181 0.4241
0.5380 0.1819 0.5759
0.5380 0.3181 0.5759
0.4620 0.6819 0.4241
0.1523 0.7500 0.8048
0.8477 0.2500 0.1952
0.8368 0.7500 0.1740
0.1632 0.2500 0.8260

***

5.
Cu2GeI, relaxed, DFT PBE-GGA; crystal system = tetragonal; distance to the lowest polymorph of the same formula = 0 meV/atom; total magnetic moment = 0.00 μB/cell; E_form (uncorrected) = 112 kJ/mol of formula units; calculated total energy = -26.4 eV/cell; SG = I-42d (122)
1.0
-0.2672 -1.0959 6.1778
1.7139 -5.9610 -0.9833
5.3603 -2.2653 3.0219
Ge Cu I
2 4 2
direct
0.5000 0.5000 0.0000
0.2500 0.7500 0.5000
0.3750 0.4095 0.7500
0.8750 0.8405 0.7500
0.1595 0.6250 0.2500
0.5905 0.1250 0.2500
0.0000 0.0000 0.0000
0.7500 0.2500 0.5000

***

6.
PaGa2Fe, relaxed, DFT PBE-GGA; crystal system = trigonal; ΔE_f = -145.2 meV/atom; total magnetic moment = 1.24 μB/cell; calculated total energy = -24.6 eV/cell; SG = R-3m (166)
1.0
4.1834 0.0000 0.0000
2.0917 3.6229 0.0000
2.0917 1.2076 4.8359
Ga Pa Fe
2 1 1
direct
0.2155 0.2155 0.3535
0.7845 0.7845 0.6465
0.0000 0.0000 0.0000
0.5000 0.5000 0.5000

***

7.
SrLi2Sb, relaxed, DFT PBE-GGA; crystal system = orthorhombic; total magnetic moment = 0.00 μB/cell; E_form (uncorrected) = -179 kJ/mol of formula units; calculated total energy = -11.5 eV/cell; SG = Imm2 (44)
1.0
5.3420 -0.0061 0.0236
-0.0176 5.3420 -0.0236
-2.4216 -2.9080 3.7705
Li Sb Sr
2 1 1
direct
0.7338 0.2338 0.5000
0.9692 0.9692 0.0000
0.5356 0.5356 0.0000
0.2613 0.7613 0.5000

***

8.
Na2Sr2H, relaxed, DFT PBE-GGA; crystal system = tetragonal; total magnetic moment = 0.00 μB/cell; calculated total energy = -18.5 eV/cell; SG = P4/mbm (127)
1.0
-3.9659 2.4338 -5.7404
3.3851 -4.8728 -4.4047
-4.8712 -4.6457 1.3958
Na Sr H
4 4 2
direct
0.6568 0.8432 0.5000
0.8432 0.3432 0.5000
0.1568 0.6568 0.5000
0.3432 0.1568 0.5000
0.8084 0.6916 0.0000
0.6916 0.1916 0.0000
0.3084 0.8084 0.0000
0.1916 0.3084 0.0000
0.0000 0.0000 0.0000
0.5000 0.5000 0.0000

***

Q: Look up the calculated total energy of the sixth one.
A: -24.6 eV/cell